[1]
DFT (PBE) results for a geometry-optimized Li5CdAu4 structure.

Properties
The value obtained for the energy is -2.848 eV/atom. For the offset from the most stable computed form, the calculation gives 0.000 eV/atom. As for the density of states at the Fermi level: 0.35 states/eV per atom. As for the space group: No. 123.

Geometry as CIF:
```
data_Li5CdAu4
_symmetry_space_group_name_H-M 'P 1'
_symmetry_Int_Tables_number 1
_symmetry_space_group_name_Hall 'P 1'
_cell_length_a 3.2236
_cell_length_b 3.2236
_cell_length_c 15.2751
_cell_angle_alpha 90.00
_cell_angle_beta 90.00
_cell_angle_gamma 90.00
loop_
_atom_site_label
_atom_site_type_symbol
_atom_site_fract_x
_atom_site_fract_y
_atom_site_fract_z
_atom_site_occupancy
Au1 Au 0.0000 0.0000 0.5968 1
Au2 Au 0.0000 0.0000 0.7919 1
Au3 Au 0.0000 0.0000 0.2081 1
Au4 Au 0.0000 0.0000 0.4032 1
Li1 Li 0.5000 0.5000 0.3063 1
Li2 Li 0.5000 0.5000 0.8836 1
Li3 Li 0.5000 0.5000 0.1164 1
Li4 Li 0.5000 0.5000 0.6937 1
Li5 Li 0.5000 0.5000 0.5000 1
Cd1 Cd 0.0000 0.0000 0.0000 1
```

***

[2]
DFT (PBE) results for a geometry-optimized Li3Cd2Au4 structure.

Properties
The value obtained for the energy is -2.713 eV/atom. As for the density of states at the Fermi level: 0.19 states/eV per atom. As for the space group: No. 12.

Geometry as CIF:
```
data_Li3Cd2Au4
_symmetry_space_group_name_H-M 'P 1'
_symmetry_Int_Tables_number 1
_symmetry_space_group_name_Hall 'P 1'
_cell_length_a 4.1243
_cell_length_b 4.9722
_cell_length_c 8.7732
_cell_angle_alpha 73.91
_cell_angle_beta 90.00
_cell_angle_gamma 114.50
loop_
_atom_site_label
_atom_site_type_symbol
_atom_site_fract_x
_atom_site_fract_y
_atom_site_fract_z
_atom_site_occupancy
Au1 Au 0.6646 0.3291 0.1105 1
Au2 Au 0.0139 0.0279 0.6563 1
Au3 Au 0.3354 0.6709 0.8895 1
Au4 Au 0.9861 0.9721 0.3437 1
Li1 Li 0.6537 0.3074 0.4427 1
Li2 Li 0.0000 0.0000 0.0000 1
Li3 Li 0.3463 0.6926 0.5573 1
Cd1 Cd 0.6727 0.3454 0.7725 1
Cd2 Cd 0.3273 0.6546 0.2275 1
```

***

[3]
DFT (PBE) results for a geometry-optimized Li4CdAu15 structure.

Properties
The value obtained for the energy is -3.190 eV/atom. As for the density of states at the Fermi level: 0.30 states/eV per atom. As for the space group: No. 123.

Geometry as CIF:
```
data_Li4CdAu15
_symmetry_space_group_name_H-M 'P 1'
_symmetry_Int_Tables_number 1
_symmetry_space_group_name_Hall 'P 1'
_cell_length_a 4.0939
_cell_length_b 4.0939
_cell_length_c 20.5523
_cell_angle_alpha 90.00
_cell_angle_beta 90.00
_cell_angle_gamma 90.00
loop_
_atom_site_label
_atom_site_type_symbol
_atom_site_fract_x
_atom_site_fract_y
_atom_site_fract_z
_atom_site_occupancy
Au1 Au 0.0000 0.5000 0.5000 1
Au2 Au 0.0000 0.5000 0.8928 1
Au3 Au 0.5000 0.0000 0.5000 1
Au4 Au 0.5000 0.0000 0.3042 1
Au5 Au 0.5000 0.5000 0.4021 1
Au6 Au 0.0000 0.5000 0.3042 1
Au7 Au 0.5000 0.0000 0.8928 1
Au8 Au 0.5000 0.5000 0.2057 1
Au9 Au 0.0000 0.5000 0.1072 1
Au10 Au 0.5000 0.0000 0.1072 1
Au11 Au 0.5000 0.5000 0.7943 1
Au12 Au 0.5000 0.5000 0.0000 1
Au13 Au 0.5000 0.0000 0.6958 1
Au14 Au 0.0000 0.5000 0.6958 1
Au15 Au 0.5000 0.5000 0.5979 1
Li1 Li 0.0000 0.0000 0.5984 1
Li2 Li 0.0000 0.0000 0.7949 1
Li3 Li 0.0000 0.0000 0.4016 1
Li4 Li 0.0000 0.0000 0.2051 1
Cd1 Cd 0.0000 0.0000 0.0000 1
```

***

[4]
DFT (PBE) results for a geometry-optimized Li2Cd6Au structure.

Properties
The value obtained for the energy is -1.606 eV/atom. For the offset from the most stable computed form, the calculation gives 0.005 eV/atom. As for the density of states at the Fermi level: 0.28 states/eV per atom. As for the space group: No. 136.

Geometry as CIF:
```
data_Li2Cd6Au
_symmetry_space_group_name_H-M 'P 1'
_symmetry_Int_Tables_number 1
_symmetry_space_group_name_Hall 'P 1'
_cell_length_a 4.3440
_cell_length_b 9.0629
_cell_length_c 9.0613
_cell_angle_alpha 90.00
_cell_angle_beta 90.00
_cell_angle_gamma 90.00
loop_
_atom_site_label
_atom_site_type_symbol
_atom_site_fract_x
_atom_site_fract_y
_atom_site_fract_z
_atom_site_occupancy
Cd1 Cd 0.5000 0.5118 0.3274 1
Cd2 Cd 0.5000 0.4882 0.6726 1
Cd3 Cd 0.9998 0.3442 0.1563 1
Cd4 Cd 0.4998 0.1558 0.6563 1
Cd5 Cd 0.5002 0.8442 0.3437 1
Cd6 Cd 0.4998 0.1727 0.9887 1
Cd7 Cd 0.5002 0.8273 0.0113 1
Cd8 Cd 0.9998 0.3273 0.4887 1
Cd9 Cd 0.0000 0.9882 0.8274 1
Cd10 Cd 0.0000 0.0118 0.1726 1
Cd11 Cd 0.0002 0.6727 0.5113 1
Cd12 Cd 0.0002 0.6558 0.8437 1
Li1 Li 0.5001 0.8352 0.6644 1
Li2 Li 0.9999 0.3352 0.8356 1
Li3 Li 0.4999 0.1648 0.3356 1
Li4 Li 0.0001 0.6648 0.1644 1
Au1 Au 0.0000 0.0000 0.5000 1
Au2 Au 0.5000 0.5000 0.0000 1
```

***

[5]
DFT (PBE) results for a geometry-optimized Li2Cd2Au structure.

Properties
The value obtained for the energy is -2.002 eV/atom. For the offset from the most stable computed form, the calculation gives 0.135 eV/atom. As for the density of states at the Fermi level: 0.38 states/eV per atom. As for the space group: No. 127.

Geometry as CIF:
```
data_Li2Cd2Au
_symmetry_space_group_name_H-M 'P 1'
_symmetry_Int_Tables_number 1
_symmetry_space_group_name_Hall 'P 1'
_cell_length_a 7.5317
_cell_length_b 7.5317
_cell_length_c 3.2164
_cell_angle_alpha 90.00
_cell_angle_beta 90.00
_cell_angle_gamma 90.00
loop_
_atom_site_label
_atom_site_type_symbol
_atom_site_fract_x
_atom_site_fract_y
_atom_site_fract_z
_atom_site_occupancy
Cd1 Cd 0.6375 0.1375 0.0000 1
Cd2 Cd 0.8625 0.6375 0.0000 1
Cd3 Cd 0.1375 0.3625 0.0000 1
Cd4 Cd 0.3625 0.8625 0.0000 1
Li1 Li 0.6636 0.8364 0.5000 1
Li2 Li 0.3364 0.1636 0.5000 1
Li3 Li 0.8364 0.3364 0.5000 1
Li4 Li 0.1636 0.6636 0.5000 1
Au1 Au 0.5000 0.5000 0.0000 1
Au2 Au 0.0000 0.0000 0.0000 1
```

***

[6]
DFT (PBE) results for a geometry-optimized LiCdAu6 structure.

Properties
The value obtained for the energy is -3.033 eV/atom. For the offset from the most stable computed form, the calculation gives 0.016 eV/atom. As for the density of states at the Fermi level: 0.50 states/eV per atom. As for the space group: No. 38.

Geometry as CIF:
```
data_LiCdAu6
_symmetry_space_group_name_H-M 'P 1'
_symmetry_Int_Tables_number 1
_symmetry_space_group_name_Hall 'P 1'
_cell_length_a 4.8075
_cell_length_b 5.8578
_cell_length_c 5.8578
_cell_angle_alpha 119.79
_cell_angle_beta 90.00
_cell_angle_gamma 90.00
loop_
_atom_site_label
_atom_site_type_symbol
_atom_site_fract_x
_atom_site_fract_y
_atom_site_fract_z
_atom_site_occupancy
Cd1 Cd 0.5000 0.4163 0.5837 1
Li1 Li 0.0000 0.0838 0.9162 1
Au1 Au 0.0000 0.5845 0.4155 1
Au2 Au 0.0000 0.5846 0.9179 1
Au3 Au 0.5000 0.9190 0.0810 1
Au4 Au 0.5000 0.4099 0.0806 1
Au5 Au 0.5000 0.9194 0.5901 1
Au6 Au 0.0000 0.0821 0.4154 1
```

***

[7]
DFT (PBE) results for a geometry-optimized Li2Cd2Au3 structure.

Properties
The value obtained for the energy is -2.536 eV/atom. For the offset from the most stable computed form, the calculation gives 0.046 eV/atom. As for the density of states at the Fermi level: 0.34 states/eV per atom. As for the space group: No. 166.

Geometry as CIF:
```
data_Li2Cd2Au3
_symmetry_space_group_name_H-M 'P 1'
_symmetry_Int_Tables_number 1
_symmetry_space_group_name_Hall 'P 1'
_cell_length_a 7.1460
_cell_length_b 7.1460
_cell_length_c 7.1460
_cell_angle_alpha 38.49
_cell_angle_beta 38.49
_cell_angle_gamma 38.49
loop_
_atom_site_label
_atom_site_type_symbol
_atom_site_fract_x
_atom_site_fract_y
_atom_site_fract_z
_atom_site_occupancy
Li1 Li 0.8634 0.8634 0.8634 1
Li2 Li 0.1366 0.1366 0.1366 1
Au1 Au 0.0000 0.0000 0.0000 1
Au2 Au 0.7287 0.7287 0.7287 1
Au3 Au 0.2713 0.2713 0.2713 1
Cd1 Cd 0.4242 0.4242 0.4242 1
Cd2 Cd 0.5758 0.5758 0.5758 1
```

***

[8]
DFT (PBE) results for a geometry-optimized Li3Cd2Au7 structure.

Properties
The value obtained for the energy is -2.830 eV/atom. As for the density of states at the Fermi level: 0.28 states/eV per atom. As for the space group: No. 10.

Geometry as CIF:
```
data_Li3Cd2Au7
_symmetry_space_group_name_H-M 'P 1'
_symmetry_Int_Tables_number 1
_symmetry_space_group_name_Hall 'P 1'
_cell_length_a 3.8968
_cell_length_b 4.3410
_cell_length_c 13.5277
_cell_angle_alpha 99.18
_cell_angle_beta 90.00
_cell_angle_gamma 90.00
loop_
_atom_site_label
_atom_site_type_symbol
_atom_site_fract_x
_atom_site_fract_y
_atom_site_fract_z
_atom_site_occupancy
Au1 Au 0.0000 0.4227 0.8473 1
Au2 Au 0.5000 0.0798 0.1562 1
Au3 Au 0.0000 0.5773 0.1527 1
Au4 Au 0.0000 0.0000 0.0000 1
Au5 Au 0.5000 0.7796 0.5598 1
Au6 Au 0.5000 0.9202 0.8438 1
Au7 Au 0.5000 0.2204 0.4402 1
Li1 Li 0.5000 0.5000 0.0000 1
Li2 Li 0.0000 0.1510 0.3004 1
Li3 Li 0.0000 0.8490 0.6996 1
Cd1 Cd 0.5000 0.3418 0.6860 1
Cd2 Cd 0.5000 0.6582 0.3140 1
```

***

[9]
DFT (PBE) results for a geometry-optimized Li4Cd3Au4 structure.

Properties
The value obtained for the energy is -2.517 eV/atom. For the offset from the most stable computed form, the calculation gives 0.000 eV/atom. As for the density of states at the Fermi level: 0.26 states/eV per atom. As for the space group: No. 2.

Geometry as CIF:
```
data_Li4Cd3Au4
_symmetry_space_group_name_H-M 'P 1'
_symmetry_Int_Tables_number 1
_symmetry_space_group_name_Hall 'P 1'
_cell_length_a 3.0135
_cell_length_b 3.9331
_cell_length_c 16.5005
_cell_angle_alpha 96.92
_cell_angle_beta 95.26
_cell_angle_gamma 90.02
loop_
_atom_site_label
_atom_site_type_symbol
_atom_site_fract_x
_atom_site_fract_y
_atom_site_fract_z
_atom_site_occupancy
Au1 Au 0.1881 0.1890 0.3775 1
Au2 Au 0.8119 0.8111 0.6225 1
Au3 Au 0.4494 0.4474 0.8982 1
Au4 Au 0.5506 0.5527 0.1018 1
Li1 Li 0.0891 0.0900 0.1788 1
Li2 Li 0.7260 0.7267 0.4534 1
Li3 Li 0.9109 0.9100 0.8212 1
Li4 Li 0.2739 0.2733 0.5466 1
Cd1 Cd 0.6386 0.6387 0.2780 1
Cd2 Cd 0.3614 0.3613 0.7220 1
Cd3 Cd 0.0000 0.0000 0.0000 1
```

***

[10]
DFT (PBE) results for a geometry-optimized LiCd2Au structure.

Properties
The value obtained for the energy is -1.865 eV/atom. For the offset from the most stable computed form, the calculation gives 0.228 eV/atom. As for the density of states at the Fermi level: 0.26 states/eV per atom. As for the space group: No. 122.

Geometry as CIF:
```
data_LiCd2Au
_symmetry_space_group_name_H-M 'P 1'
_symmetry_Int_Tables_number 1
_symmetry_space_group_name_Hall 'P 1'
_cell_length_a 7.8587
_cell_length_b 7.8587
_cell_length_c 6.2326
_cell_angle_alpha 50.92
_cell_angle_beta 50.92
_cell_angle_gamma 90.00
loop_
_atom_site_label
_atom_site_type_symbol
_atom_site_fract_x
_atom_site_fract_y
_atom_site_fract_z
_atom_site_occupancy
Li1 Li 0.2500 0.7500 0.5000 1
Li2 Li 0.5000 0.5000 0.0000 1
Cd1 Cd 0.3750 0.3622 0.7500 1
Cd2 Cd 0.6378 0.1250 0.2500 1
Cd3 Cd 0.8750 0.8878 0.7500 1
Cd4 Cd 0.1122 0.6250 0.2500 1
Au1 Au 0.7500 0.2500 0.5000 1
Au2 Au 0.0000 0.0000 0.0000 1
```

***

[11]
DFT (PBE) results for a geometry-optimized Li2CdAu structure.

Properties
The value obtained for the energy is -2.364 eV/atom. For the offset from the most stable computed form, the calculation gives 0.064 eV/atom. As for the density of states at the Fermi level: 0.30 states/eV per atom. As for the space group: No. 164.

Geometry as CIF:
```
data_Li2CdAu
_symmetry_space_group_name_H-M 'P 1'
_symmetry_Int_Tables_number 1
_symmetry_space_group_name_Hall 'P 1'
_cell_length_a 4.7498
_cell_length_b 4.7498
_cell_length_c 7.8952
_cell_angle_alpha 90.00
_cell_angle_beta 90.00
_cell_angle_gamma 60.00
loop_
_atom_site_label
_atom_site_type_symbol
_atom_site_fract_x
_atom_site_fract_y
_atom_site_fract_z
_atom_site_occupancy
Au1 Au 0.6667 0.6667 0.2504 1
Au2 Au 0.3333 0.3333 0.7496 1
Li1 Li 0.6667 0.6667 0.5839 1
Li2 Li 0.3333 0.3333 0.4161 1
Li3 Li 0.3333 0.3333 0.0832 1
Li4 Li 0.6667 0.6667 0.9168 1
Cd1 Cd 0.0000 0.0000 0.2471 1
Cd2 Cd 0.0000 0.0000 0.7529 1
```

***

[12]
DFT (PBE) results for a geometry-optimized Li3CdAu6 structure.

Properties
The value obtained for the energy is -3.020 eV/atom. For the offset from the most stable computed form, the calculation gives 0.000 eV/atom. As for the density of states at the Fermi level: 0.25 states/eV per atom. As for the space group: No. 2.

Geometry as CIF:
```
data_Li3CdAu6
_symmetry_space_group_name_H-M 'P 1'
_symmetry_Int_Tables_number 1
_symmetry_space_group_name_Hall 'P 1'
_cell_length_a 4.7978
_cell_length_b 7.6137
_cell_length_c 10.3637
_cell_angle_alpha 115.14
_cell_angle_beta 90.05
_cell_angle_gamma 89.98
loop_
_atom_site_label
_atom_site_type_symbol
_atom_site_fract_x
_atom_site_fract_y
_atom_site_fract_z
_atom_site_occupancy
Li1 Li 0.7496 0.6308 0.2241 1
Li2 Li 0.7506 0.2251 0.0248 1
Li3 Li 0.7508 0.4476 0.6336 1
Li4 Li 0.2492 0.5524 0.3664 1
Li5 Li 0.2494 0.7749 0.9752 1
Li6 Li 0.2504 0.3692 0.7759 1
Au1 Au 0.7500 0.5338 0.9305 1
Au2 Au 0.7507 0.1468 0.7359 1
Au3 Au 0.2497 0.2738 0.4752 1
Au4 Au 0.7492 0.3426 0.3250 1
Au5 Au 0.2508 0.6574 0.6750 1
Au6 Au 0.7490 0.9304 0.1270 1
Au7 Au 0.7503 0.7262 0.5248 1
Au8 Au 0.2493 0.8532 0.2641 1
Au9 Au 0.2510 0.0696 0.8730 1
Au10 Au 0.2500 0.4662 0.0695 1
Au11 Au 0.2490 0.1681 0.1681 1
Au12 Au 0.7510 0.8319 0.8319 1
Cd1 Cd 0.2504 0.9643 0.5730 1
Cd2 Cd 0.7496 0.0357 0.4270 1
```

***

Number 6 is which compound? LiCdAu6